[1]
8
Lattice="8.241 -1.979 0.000 8.241 1.979 0.000 -1.084 0.000 4.101" Properties=species:S:1:pos:R:3 comment="Li4CdAu3 PBE optimized geometry" de_polymorph_mev_per_atom=55 crystal_system=monoclinic pbc="T T T"
Li 1.919 0.000 0.511
Li 3.340 0.000 3.086
Li 12.058 0.000 1.015
Li 13.478 0.000 3.590
Cd -0.542 0.000 2.051
Au 5.553 0.000 1.481
Au 8.241 0.000 0.000
Au 9.844 0.000 2.621

***

[2]
12
Lattice="5.110 -4.186 0.000 5.110 4.186 0.000 -0.349 0.000 5.523" Properties=species:S:1:pos:R:3 comment="LiCd2Au3 PBE optimized geometry" de_polymorph_mev_per_atom=114 crystal_system=monoclinic pbc="T T T"
Li 4.848 3.483 4.143
Li 5.023 -3.483 1.381
Cd 3.678 1.999 1.923
Cd 6.368 1.999 0.839
Cd 3.504 -1.999 4.684
Cd 6.193 -1.999 3.601
Au 1.981 0.329 5.475
Au 2.155 -0.329 2.713
Au 4.848 0.610 4.143
Au 5.023 -0.610 1.381
Au 7.716 0.329 2.810
Au 7.891 -0.329 0.048

***

[3]
5
Lattice="4.093 -2.338 0.000 4.093 2.338 0.000 -2.789 0.000 4.750" Properties=species:S:1:pos:R:3 comment="Li2Cd2Au PBE optimized geometry" de_polymorph_mev_per_atom=0 crystal_system=monoclinic pbc="T T T"
Li 1.362 0.000 0.423
Li 4.036 0.000 4.326
Cd 1.326 0.000 3.311
Cd 4.072 0.000 1.439
Au -1.395 0.000 2.375

***

[4]
9
Lattice="-4.470 4.470 2.133 4.470 -4.470 2.133 4.470 4.470 -2.133" Properties=species:S:1:pos:R:3 comment="LiCd4Au4 PBE optimized geometry" de_polymorph_mev_per_atom=0 crystal_system=tetragonal pbc="T T T"
Li 0.000 0.000 0.000
Cd 2.989 2.989 0.000
Cd 1.481 -1.481 2.133
Cd -1.481 1.481 2.133
Cd 1.481 1.481 2.133
Au 2.918 0.000 0.000
Au 6.023 0.000 0.000
Au 0.000 2.918 0.000
Au 0.000 6.023 0.000

***

[5]
12
Lattice="4.049 -7.034 0.000 4.049 7.034 0.000 -2.732 0.000 3.828" Properties=species:S:1:pos:R:3 comment="Li5Cd6Au PBE optimized geometry" crystal_system=monoclinic total_energy_ev_per_atom=-1.805 pbc="T T T"
Li 0.000 0.000 0.000
Li 2.682 4.673 1.914
Li 4.049 2.259 0.000
Li 4.049 -2.259 0.000
Li 2.682 -4.673 1.914
Cd 1.301 2.412 0.938
Cd -0.096 0.000 2.826
Cd 1.301 -2.412 0.938
Cd 4.064 2.412 2.890
Cd 5.461 0.000 1.002
Cd 4.064 -2.412 2.890
Au 2.682 0.000 1.914

***

[6]
11
Lattice="5.197 -4.263 0.000 5.197 4.263 0.000 -1.122 0.000 4.814" Properties=species:S:1:pos:R:3 comment="Li2Cd2Au7 PBE optimized geometry" crystal_system=monoclinic total_energy_ev_per_atom=-2.812 pbc="T T T"
Li 2.078 0.000 1.356
Li 7.194 0.000 3.458
Cd 4.636 1.705 2.407
Cd 4.636 -1.705 2.407
Au -0.299 0.000 3.768
Au 2.073 1.546 3.685
Au 2.073 -1.546 3.685
Au 5.197 0.000 0.000
Au 7.199 1.546 1.129
Au 7.199 -1.546 1.129
Au 9.571 0.000 1.047

***

| no. | V (Å³/f.u.) |
| --- | --- |
| 1 | 133.77 |
| 2 | 118.14 |
| 3 | 90.93 |
| 4 | 170.52 |
| 5 | 218.05 |
| 6 | 213.33 |